DFT (PBE-GGA) results for a relaxed ScTa3B crystal.

abc: 4.6616 4.6616 4.6616
angles: 90.00 90.00 90.00
Fractional coordinates of all 5 atoms:
Sc 0.0000 0.0000 0.0000
B 0.5000 0.5000 0.5000
Ta 0.0000 0.5000 0.0000
Ta 0.0000 0.0000 0.5000
Ta 0.5000 0.0000 0.0000

Calculated values
- calculated volume (Å³/cell) = 101.3
- energy relative to the lowest polymorph listed for this composition (meV/atom) = 2700
- size of the total moment (μB/cell) = 0.000
- DFT formation energy (eV/atom) = 2.7208
- DOS(E_F) (states/eV/atom) = 0.893